1.
DFT (PBE) results for crystalline MgTi2Sb at its relaxed geometry.

```
data_MgTi2Sb
_chemical_formula_sum 'Mg2 Ti4 Sb2'
_cell_length_a 7.597
_cell_length_b 7.597
_cell_length_c 6.092
_cell_angle_alpha 51.43
_cell_angle_beta 51.43
_cell_angle_gamma 90.00
_space_group_name_H-M_alt 'P 1'
_space_group_IT_number 1
loop_
_space_group_symop_operation_xyz
'x,y,z'
loop_
_atom_site_label
_atom_site_fract_x
_atom_site_fract_y
_atom_site_fract_z
Sb1 0.000 0.000 0.000
Sb2 0.750 0.250 0.500
Mg1 0.500 0.500 0.000
Mg2 0.250 0.750 0.500
Ti1 0.635 0.125 0.250
Ti2 0.115 0.625 0.250
Ti3 0.375 0.365 0.750
Ti4 0.875 0.885 0.750
```

Results
The value obtained for the density of states at the Fermi level is 7.62 states/eV/cell. For the excess energy over the best structure of this formula in the dataset, the calculation gives 0.3676 eV per atom. The total energy is -5.21 eV/atom. The value obtained for the density is 4.8 g/cm³.



2.
DFT (PBE) results for crystalline MgTi2Sb at its relaxed geometry.

```
data_MgTi2Sb
_chemical_formula_sum 'Mg1 Ti2 Sb1'
_cell_length_a 4.364
_cell_length_b 4.138
_cell_length_c 4.138
_cell_angle_alpha 90.00
_cell_angle_beta 90.00
_cell_angle_gamma 90.00
_space_group_name_H-M_alt 'P 1'
_space_group_IT_number 1
loop_
_space_group_symop_operation_xyz
'x,y,z'
loop_
_atom_site_label
_atom_site_fract_x
_atom_site_fract_y
_atom_site_fract_z
Sb1 0.500 0.500 0.500
Mg1 0.500 0.000 0.000
Ti1 0.000 0.000 0.500
Ti2 0.000 0.500 0.000
```

Results
The value obtained for the density of states at the Fermi level is 3.78 states/eV/cell. For the excess energy over the best structure of this formula in the dataset, the calculation gives 0.0000 eV per atom. The total energy is -5.58 eV/atom. The value obtained for the density is 5.4 g/cm³.



3.
DFT (PBE) results for crystalline YMgTiSb2 at its relaxed geometry.

```
data_YMgTiSb2
_chemical_formula_sum 'Y1 Mg1 Ti1 Sb2'
_cell_length_a 5.271
_cell_length_b 5.308
_cell_length_c 5.271
_cell_angle_alpha 90.00
_cell_angle_beta 90.00
_cell_angle_gamma 90.00
_space_group_name_H-M_alt 'P 1'
_space_group_IT_number 1
loop_
_space_group_symop_operation_xyz
'x,y,z'
loop_
_atom_site_label
_atom_site_fract_x
_atom_site_fract_y
_atom_site_fract_z
Y1 0.000 0.500 0.000
Sb1 0.000 0.000 0.500
Sb2 0.500 0.000 0.000
Mg1 0.500 0.500 0.500
Ti1 0.000 0.000 0.000
```

Results
The value obtained for the density of states at the Fermi level is 4.86 states/eV/cell. The total energy is -4.68 eV/atom. The value obtained for the density is 4.6 g/cm³.



4.
DFT (PBE) results for crystalline YMgTi2Sb at its relaxed geometry.

```
data_YMgTi2Sb
_chemical_formula_sum 'Y1 Mg1 Ti2 Sb1'
_cell_length_a 4.981
_cell_length_b 5.608
_cell_length_c 4.981
_cell_angle_alpha 90.00
_cell_angle_beta 90.00
_cell_angle_gamma 90.00
_space_group_name_H-M_alt 'P 1'
_space_group_IT_number 1
loop_
_space_group_symop_operation_xyz
'x,y,z'
loop_
_atom_site_label
_atom_site_fract_x
_atom_site_fract_y
_atom_site_fract_z
Y1 0.000 0.000 0.000
Sb1 0.000 0.500 0.000
Mg1 0.500 0.500 0.500
Ti1 0.000 0.000 0.500
Ti2 0.500 0.000 0.000
```

Results
The value obtained for the density of states at the Fermi level is 4.91 states/eV/cell. The total energy is -4.52 eV/atom. The value obtained for the density is 3.9 g/cm³.



5.
DFT (PBE) results for crystalline MgTlSb2 at its relaxed geometry.

```
data_MgTlSb2
_chemical_formula_sum 'Mg1 Tl1 Sb2'
_cell_length_a 3.340
_cell_length_b 3.340
_cell_length_c 9.925
_cell_angle_alpha 90.00
_cell_angle_beta 90.00
_cell_angle_gamma 90.00
_space_group_name_H-M_alt 'P 1'
_space_group_IT_number 1
loop_
_space_group_symop_operation_xyz
'x,y,z'
loop_
_atom_site_label
_atom_site_fract_x
_atom_site_fract_y
_atom_site_fract_z
Mg1 0.500 0.500 0.750
Sb1 0.000 0.000 0.961
Sb2 0.000 0.000 0.539
Tl1 0.500 0.500 0.250
```

Results
The value obtained for the density of states at the Fermi level is 2.00 states/eV/cell. For the excess energy over the best structure of this formula in the dataset, the calculation gives 0.0008 eV per atom. The total energy is -3.13 eV/atom. The value obtained for the density is 7.1 g/cm³.



6.
DFT (PBE) results for crystalline MgTlSb2 at its relaxed geometry.

```
data_MgTlSb2
_chemical_formula_sum 'Mg1 Tl1 Sb2'
_cell_length_a 10.683
_cell_length_b 10.683
_cell_length_c 10.683
_cell_angle_alpha 18.75
_cell_angle_beta 18.75
_cell_angle_gamma 18.75
_space_group_name_H-M_alt 'P 1'
_space_group_IT_number 1
loop_
_space_group_symop_operation_xyz
'x,y,z'
loop_
_atom_site_label
_atom_site_fract_x
_atom_site_fract_y
_atom_site_fract_z
Mg1 0.750 0.750 0.750
Sb1 0.012 0.012 0.012
Sb2 0.488 0.488 0.488
Tl1 0.250 0.250 0.250
```

Results
The value obtained for the density of states at the Fermi level is 0.60 states/eV/cell. For the excess energy over the best structure of this formula in the dataset, the calculation gives 0.0000 eV per atom. The total energy is -3.13 eV/atom. The value obtained for the density is 7.1 g/cm³.



7.
DFT (PBE) results for crystalline MgTlSb2 at its relaxed geometry.

```
data_MgTlSb2
_chemical_formula_sum 'Mg1 Tl1 Sb2'
_cell_length_a 4.651
_cell_length_b 4.842
_cell_length_c 4.842
_cell_angle_alpha 90.00
_cell_angle_beta 90.00
_cell_angle_gamma 90.00
_space_group_name_H-M_alt 'P 1'
_space_group_IT_number 1
loop_
_space_group_symop_operation_xyz
'x,y,z'
loop_
_atom_site_label
_atom_site_fract_x
_atom_site_fract_y
_atom_site_fract_z
Mg1 0.500 0.000 0.500
Sb1 0.000 0.000 0.000
Sb2 0.000 0.500 0.500
Tl1 0.500 0.500 0.000
```

Results
The value obtained for the density of states at the Fermi level is 2.43 states/eV/cell. For the excess energy over the best structure of this formula in the dataset, the calculation gives 0.1085 eV per atom. The total energy is -3.02 eV/atom. The value obtained for the density is 7.2 g/cm³.



8.
DFT (PBE) results for crystalline MgTlSb2 at its relaxed geometry.

```
data_MgTlSb2
_chemical_formula_sum 'Mg1 Tl1 Sb2'
_cell_length_a 6.477
_cell_length_b 6.477
_cell_length_c 6.477
_cell_angle_alpha 144.44
_cell_angle_beta 134.05
_cell_angle_gamma 59.42
_space_group_name_H-M_alt 'P 1'
_space_group_IT_number 1
loop_
_space_group_symop_operation_xyz
'x,y,z'
loop_
_atom_site_label
_atom_site_fract_x
_atom_site_fract_y
_atom_site_fract_z
Mg1 0.229 0.729 0.500
Sb1 0.977 0.977 0.000
Sb2 0.775 0.275 0.500
Tl1 0.519 0.519 0.000
```

Results
The value obtained for the density of states at the Fermi level is 1.41 states/eV/cell. For the excess energy over the best structure of this formula in the dataset, the calculation gives 0.0906 eV per atom. The total energy is -3.04 eV/atom. The value obtained for the density is 7.0 g/cm³.



- Number 1 is which compound?
  MgTi2Sb